Below is a geometry-optimized CaSc2Cl structure, with properties calculated at the PBE-GGA level.

Structure (POSCAR):
```
CaSc2Cl
1.0
-1.8957 3.0865 -5.1653
4.7811 -4.1086 0.2462
-2.1669 -2.5658 -0.7379
Ca Sc Cl
1 2 1
Direct
0.5000 0.0000 0.5000
0.5000 0.5000 0.0000
0.0000 0.0000 0.0000
0.0000 0.5000 0.5000
```

Computed properties:
- SG: Cmmm
- Raw formation energy: -9 kJ/mol of atoms

Below is a geometry-optimized CaLa2NpAs4 structure, with properties calculated at the PBE-GGA level.

Structure (POSCAR):
```
CaLa2NpAs4
1.0
-0.6790 -3.5663 2.2834
1.1621 -4.0935 -6.0478
6.4020 1.0236 3.5026
Ca La As Np
1 2 4 1
Direct
0.5000 0.5000 0.0000
0.5000 0.0000 0.5000
0.0000 0.5000 0.5000
0.5000 0.2367 0.2345
0.5000 0.7633 0.7655
0.0000 0.2407 0.7619
0.0000 0.7593 0.2381
0.0000 0.0000 0.0000
```

Computed properties:
- SG: P2/m
- Formation energy from the elements: -1.20 eV/atom

Below is a geometry-optimized ScTcB structure, with properties calculated at the PBE-GGA level.

Structure (POSCAR):
```
ScTcB
1.0
-0.1797 -3.1081 -3.2546
3.1977 3.1383 -0.4595
1.1806 -2.4385 4.0229
Sc B Tc
2 2 2
Direct
0.6717 0.3283 0.0000
0.3283 0.6717 0.0000
0.7500 0.2500 0.5000
0.2500 0.7500 0.5000
0.1709 0.1709 0.3417
0.8291 0.8291 0.6583
```

Computed properties:
- SG: Fmmm
- Formation energy from the elements: -0.35 eV/atom

Below is a geometry-optimized TeCl3 structure, with properties calculated at the PBE-GGA level.

Structure (POSCAR):
```
TeCl3
1.0
-4.3754 3.3052 5.0505
4.4838 -5.8581 7.7180
5.3418 5.4697 1.0482
Cl Te
12 4
Direct
0.5672 0.2243 0.5043
0.1060 0.9753 0.2500
0.0672 0.2757 0.0043
0.9328 0.7243 0.5043
0.9328 0.7243 0.9957
0.3940 0.4753 0.2500
0.5672 0.2243 0.9957
0.8940 0.0247 0.7500
0.4328 0.7757 0.4957
0.6060 0.5247 0.7500
0.4328 0.7757 0.0043
0.0672 0.2757 0.4957
0.6763 0.7386 0.7500
0.8237 0.2386 0.7500
0.1763 0.7614 0.2500
0.3237 0.2614 0.2500
```

Computed properties:
- SG: Pnma
- Raw formation energy: -40 kJ/mol of atoms

Below is a geometry-optimized ScCuHg structure, with properties calculated at the PBE-GGA level.

Structure (POSCAR):
```
ScCuHg
1.0
-1.4881 4.0807 0.9077
-3.9355 1.3253 -1.5639
-3.4194 0.5485 2.7743
Cu Hg Sc
1 1 1
Direct
0.7500 0.7500 0.7500
0.0000 0.0000 0.0000
0.5000 0.5000 0.5000
```

Computed properties:
- SG: F-43m
- Formation energy from the elements: -0.12 eV/atom

Below is a geometry-optimized NiAsSe structure, with properties calculated at the PBE-GGA level.

Structure (POSCAR):
```
NiAsSe
1.0
5.7883 0.4905 -1.8312
-2.6845 5.1516 -1.8312
-0.1591 -0.2891 6.9122
As Ni Se
4 4 4
Direct
0.6726 0.8802 0.1279
0.7522 0.5446 0.8721
0.6302 0.9226 0.6279
0.2946 0.0022 0.3721
0.7144 0.2138 0.0019
0.9638 0.9644 0.5019
0.2119 0.7125 0.9981
0.4625 0.4619 0.4981
0.7886 0.5090 0.3710
0.2590 0.0386 0.8710
0.1676 0.3880 0.1290
0.1380 0.4176 0.6290
```

Computed properties:
- SG: Fdd2
- Raw formation energy: -23 kJ/mol of atoms

Below is a geometry-optimized HgH2PbI structure, with properties calculated at the PBE-GGA level.

Structure (POSCAR):
```
HgH2PbI
1.0
4.2993 0.0000 0.0000
0.0000 6.1308 0.0000
0.0000 0.0000 4.2993
H Hg Pb I
2 1 1 1
Direct
0.0000 0.0000 0.5000
0.5000 0.0000 0.0000
0.0000 0.5000 0.0000
0.0000 0.0000 0.0000
0.5000 0.5000 0.5000
```

Computed properties:
- SG: P4/mmm

Below is a geometry-optimized TcMo3 structure, with properties calculated at the PBE-GGA level.

Structure (POSCAR):
```
TcMo3
1.0
-1.0792 3.5224 -2.4921
-4.2262 1.3716 -0.2003
-1.1935 3.8180 1.9444
Mo Tc
3 1
Direct
0.2500 0.2500 0.2500
0.0000 0.0000 0.0000
0.5000 0.5000 0.5000
0.7500 0.7500 0.7500
```

Computed properties:
- SG: Fm-3m
- Formation energy from the elements: 0.05 eV/atom

Below is a geometry-optimized Ho5In4Pd2 structure, with properties calculated at the PBE-GGA level.

Structure (POSCAR):
```
Ho5In4Pd2
1.0
-1.9544 -2.1168 2.2268
5.3074 -5.9774 -1.0241
9.5988 6.0880 14.2118
Ho In Pd
10 8 4
Direct
0.0000 0.7435 0.2809
0.0000 0.1171 0.4166
0.0000 0.2565 0.7191
0.0000 0.7565 0.7809
0.0000 0.6171 0.0834
0.0000 0.0000 0.0000
0.0000 0.3829 0.9166
0.0000 0.5000 0.5000
0.0000 0.8829 0.5834
0.0000 0.2435 0.2191
0.5000 0.2908 0.0676
0.5000 0.7092 0.9324
0.5000 0.2092 0.5676
0.5000 0.9229 0.1493
0.5000 0.4229 0.3507
0.5000 0.0771 0.8507
0.5000 0.5771 0.6493
0.5000 0.7908 0.4324
0.5000 0.0280 0.3041
0.5000 0.4720 0.8041
0.5000 0.5280 0.1959
0.5000 0.9720 0.6959
```

Computed properties:
- SG: Pbam
- Formation energy from the elements: -0.69 eV/atom

Below is a geometry-optimized Cu2HgO structure, with properties calculated at the PBE-GGA level.

Structure (POSCAR):
```
Cu2HgO
1.0
5.3120 0.0000 0.0000
0.0000 5.3120 0.0000
2.6560 2.6560 5.1688
Hg Cu O
2 4 2
Direct
0.0000 0.0000 0.0000
0.7500 0.2500 0.5000
0.3749 0.6250 0.2500
0.8750 0.6251 0.7500
0.3751 0.1250 0.2500
0.3750 0.6249 0.7500
0.2500 0.7500 0.5000
0.5000 0.5000 0.0000
```

Computed properties:
- SG: I4_1/amd
- Raw formation energy: -27 kJ/mol of atoms

Below is a geometry-optimized Tc2MoRh structure, with properties calculated at the PBE-GGA level.

Structure (POSCAR):
```
Tc2MoRh
1.0
-1.6743 -2.0850 -0.6510
0.0531 -1.1980 3.7003
-4.3942 3.1869 1.0949
Mo Tc Rh
1 2 1
Direct
0.5000 0.5000 0.2500
0.0000 0.0000 0.5004
0.0000 0.0000 0.9996
0.5000 0.5000 0.7500
```

Computed properties:
- SG: Pmmm
- Formation energy from the elements: 0.06 eV/atom

Below is a geometry-optimized BaAlSeN2 structure, with properties calculated at the PBE-GGA level.

Structure (POSCAR):
```
BaAlSeN2
1.0
4.2845 0.0000 0.0000
0.0000 4.2845 0.0000
0.0000 0.0000 5.0480
Se Al Ba N
1 1 1 2
Direct
0.0000 0.0000 0.5000
0.0000 0.0000 0.0000
0.5000 0.5000 0.5000
0.5000 0.0000 0.0000
0.0000 0.5000 0.0000
```

Computed properties:
- SG: P4/mmm
- Raw formation energy: 2 kJ/mol of atoms

Number 1: E_tot -4.2229 eV per atom. Number 2: E_tot -6.6259 eV per atom. Number 3: E_tot -8.1427 eV per atom. Number 4: E_tot -2.5895 eV per atom. Number 5: E_tot -3.7003 eV per atom. Number 6: E_tot -4.8745 eV per atom. Number 7: E_tot -2.1738 eV per atom. Number 8: E_tot -10.6624 eV per atom. Number 9: E_tot -4.7127 eV per atom. Number 10: E_tot -3.6471 eV per atom. Number 11: E_tot -9.6705 eV per atom. Number 12: E_tot -5.1372 eV per atom.